[1]
Co2HgC after structural relaxation. Source: the Alexandria database, functional PBE.

Cell lengths 5.868, 5.868, 5.868 Å; angles 90.00, 90.00, 90.00 degrees
Space group Fm-3m (No. 225)
Inequivalent atoms, fractional coordinates:
Co1 0.250 0.250 0.250 (multiplicity 8)
Hg1 0.000 0.000 0.000 (multiplicity 4)
C1 0.000 0.000 0.500 (multiplicity 4)

Calculated values
- Density of states at the Fermi level: 20.55 states/eV per cell
- DFT formation energy: 1.540 eV/atom



[2]
Pm4PrAg after structural relaxation. Source: the Alexandria database, functional PBE.

Cell lengths 3.686, 3.686, 14.181 Å; angles 90.00, 90.00, 90.00 degrees
Space group P4/mmm (No. 123)
Inequivalent atoms, fractional coordinates:
Pm1 0.000 0.000 0.135 (multiplicity 2)
Pm2 0.500 0.500 0.317 (multiplicity 2)
Pr1 0.000 0.000 0.500 (multiplicity 1)
Ag1 0.500 0.500 0.000 (multiplicity 1)

Calculated values
- Density of states at the Fermi level: 9.31 states/eV per cell
- DFT formation energy: -0.068 eV/atom



[3]
NaZr2ZnTe after structural relaxation. Source: the Alexandria database, functional PBE.

Cell lengths 5.063, 5.063, 4.990 Å; angles 90.00, 90.00, 90.00 degrees
Space group P4/mmm (No. 123)
Inequivalent atoms, fractional coordinates:
Na1 0.000 0.000 0.000 (multiplicity 1)
Zr1 0.000 0.500 0.500 (multiplicity 2)
Zn1 0.000 0.000 0.500 (multiplicity 1)
Te1 0.500 0.500 0.000 (multiplicity 1)

Calculated values
- Density of states at the Fermi level: 3.93 states/eV per cell
- Formation energy without anion corrections: 0.341 eV per atom